Record 1
This record from the Alexandria database describes a relaxed Ba2LiHgPb6 crystal. The functional is PBE.

The structure in POSCAR format:
```
Ba2LiHgPb6
1.0
3.789 2.188 13.537
-3.789 2.188 13.537
0.000 -4.375 13.537
Ba Li Hg Pb
4 2 2 12
Cartesian
0.000 0.000 4.445
0.000 0.000 11.461
0.000 0.000 29.149
0.000 0.000 36.165
0.000 0.000 0.000
0.000 0.000 20.305
0.000 0.000 17.341
0.000 0.000 23.269
-2.199 -1.269 19.103
0.000 -1.912 14.840
-1.656 0.956 14.840
0.000 -2.539 21.507
-2.199 1.269 21.507
-1.656 -0.956 25.770
1.656 0.956 14.840
2.199 -1.269 19.103
0.000 2.539 19.103
1.656 -0.956 25.770
0.000 1.912 25.770
2.199 1.269 21.507
```

Output
**DFT formation energy**: -250 meV per atom
**Calculated density**: 8.51 Mg/m³
**E_tot**: -61.6 eV for the cell shown
**Space group**: R-3m
**M_tot**: 0.00 Bohr magnetons per cell

***

Record 2
This record from the Alexandria database describes a relaxed NaMgCd2Hg4 crystal. The functional is PBE.

The structure in POSCAR format:
```
NaMgCd2Hg4
1.0
2.520 1.455 8.465
-2.520 1.455 8.465
0.000 -2.910 8.465
Na Mg Cd Hg
1 1 2 4
Cartesian
0.000 0.000 0.000
0.000 0.000 12.697
0.000 0.000 6.445
0.000 0.000 18.949
0.000 0.000 3.285
0.000 0.000 9.621
0.000 0.000 15.773
0.000 0.000 22.109
```

Output
**DFT formation energy**: -129 meV per atom
**Calculated density**: 9.58 Mg/m³
**E_tot**: -7.0 eV for the cell shown
**Space group**: R-3m
**M_tot**: 0.00 Bohr magnetons per cell

***

Record 3
This record from the Alexandria database describes a relaxed CeSm2TmSe4 crystal. The functional is PBE.

The structure in POSCAR format:
```
CeSm2TmSe4
1.0
7.159 0.000 0.000
0.000 4.108 0.000
-2.356 0.000 6.834
Ce Sm Tm Se
1 2 1 4
Cartesian
0.000 0.000 0.000
2.402 0.000 3.417
3.580 2.054 0.000
-1.178 2.054 3.417
-0.020 0.000 5.051
1.160 2.054 1.755
3.643 2.054 5.079
4.824 0.000 1.782
```

Output
**Calculated density**: 7.65 Mg/m³
**E_tot**: -48.0 eV for the cell shown
**Space group**: P2/m
**Energy relative to the elements, uncorrected**: -14.248 eV/f.u.
**M_tot**: 0.92 Bohr magnetons per cell

***

Record 4
This record from the Alexandria database describes a relaxed MgV2B2 crystal. The functional is PBE.

The structure in POSCAR format:
```
MgV2B2
1.0
5.823 0.000 0.000
0.000 5.823 0.000
0.000 0.000 3.150
Mg V B
2 4 4
Cartesian
0.000 0.000 0.000
2.911 2.911 0.000
0.969 1.942 1.575
1.942 4.854 1.575
3.881 0.969 1.575
4.854 3.881 1.575
0.611 3.522 0.000
2.301 0.611 0.000
3.522 5.212 0.000
5.212 2.301 0.000
```

Output
**DFT formation energy**: -226 meV per atom
**Calculated density**: 4.60 Mg/m³
**E_tot**: -68.6 eV for the cell shown
**Space group**: P4/mbm
**Polymorph energy (0 for the lowest one)**: 0 meV per atom
**M_tot**: 0.00 Bohr magnetons per cell

***

Record 5
This record from the Alexandria database describes a relaxed La2Cl crystal. The functional is PBE.

The structure in POSCAR format:
```
La2Cl
1.0
-1.797 1.797 7.071
1.797 -1.797 7.071
1.797 1.797 -7.071
La Cl
2 1
Cartesian
0.000 0.000 2.056
0.000 0.000 12.086
0.000 0.000 7.071
```

Output
**Calculated density**: 5.70 Mg/m³
**E_tot**: -14.1 eV for the cell shown
**Space group**: I4/mmm
**Energy relative to the elements, uncorrected**: -2.383 eV/f.u.
**Polymorph energy (0 for the lowest one)**: 211 meV per atom
**M_tot**: 0.00 Bohr magnetons per cell

***

Record 6
This record from the Alexandria database describes a relaxed NdAgPt crystal. The functional is PBE.

The structure in POSCAR format:
```
NdAgPt
1.0
4.164 0.000 0.000
0.000 4.164 0.000
0.000 0.000 7.740
Nd Ag Pt
2 2 2
Cartesian
1.041 1.041 1.264
3.123 3.123 6.476
1.041 3.123 3.870
3.123 1.041 3.870
1.041 1.041 5.975
3.123 3.123 1.765
```

Output
**DFT formation energy**: -755 meV per atom
**Calculated density**: 11.07 Mg/m³
**E_tot**: -31.9 eV for the cell shown
**Space group**: P4/nmm
**Polymorph energy (0 for the lowest one)**: 0 meV per atom
**M_tot**: 0.00 Bohr magnetons per cell

***

> Look up the E_tot of the sixth one.

-31.9 eV for the cell shown